# 1
# Th4IrSeS2

An optimized crystal structure of Th4IrSeS2 (GGA-PBE, the Alexandria database).

Properties
ρ (Mg/m³): 10.405
Calculated total energy (Ry per atom): -0.5749
Size of the total moment (μB/f.u.): 0.000
Crystal system: monoclinic

a = 7.1863 Å, b = 4.0657 Å, c = 7.3058 Å
α = 90.00°, β = 109.16°, γ = 90.00°
Space group P2/m (No. 10)
One atom of each set of equivalent atoms:
Th  0.2398  0.0000  0.2390
Th  0.2580  0.5000  0.7656
Ir  0.5000  0.0000  0.0000
Se  0.5000  0.5000  0.5000
S  0.0000  0.0000  0.5000
S  0.0000  0.5000  0.0000

# 2
# TcPt3Rh6

An optimized crystal structure of TcPt3Rh6 (GGA-PBE, the Alexandria database).

Properties
Formation energy (eV per atom): -0.0218
ρ (Mg/m³): 14.724
Size of the total moment (μB/f.u.): 0.002
Crystal system: monoclinic

a = 7.2880 Å, b = 4.4617 Å, c = 9.5515 Å
α = 90.00°, β = 109.16°, γ = 90.00°
Space group P2_1/m (No. 11)
One atom of each set of equivalent atoms:
Tc  0.1010  0.2500  0.0666
Pt  0.0941  0.7500  0.7327
Pt  0.3018  0.7500  0.5324
Pt  0.3026  0.2500  0.8692
Rh  0.1004  0.7500  0.2276
Rh  0.1020  0.2500  0.5670
Rh  0.2930  0.7500  0.0320
Rh  0.3003  0.2500  0.3639
Rh  0.4945  0.2500  0.1660
Rh  0.4985  0.7500  0.3308

# 3
# K2RbF

An optimized crystal structure of K2RbF (GGA-PBE, the Alexandria database).

Properties
ρ (Mg/m³): 1.505
Calculated total energy (Ry per atom): -0.1413
Size of the total moment (μB/f.u.): 0.000
Crystal system: cubic

a = 9.3070 Å, b = 9.3070 Å, c = 9.3070 Å
α = 90.00°, β = 90.00°, γ = 90.00°
Space group Fm-3m (No. 225)
One atom of each set of equivalent atoms:
K  0.2500  0.2500  0.2500
Rb  0.0000  0.0000  0.0000
F  0.0000  0.0000  0.5000

# 4
# Na2TlIrCl8

An optimized crystal structure of Na2TlIrCl8 (GGA-PBE, the Alexandria database).

Properties
ρ (Mg/m³): 3.756
Calculated total energy (Ry per atom): -0.2464
Size of the total moment (μB/f.u.): 0.000
Crystal system: monoclinic

a = 6.2642 Å, b = 7.9189 Å, c = 6.5123 Å
α = 90.00°, β = 96.36°, γ = 90.00°
Space group P2/m (No. 10)
One atom of each set of equivalent atoms:
Na  0.0000  0.2369  0.0000
Tl  0.5000  0.5000  0.5000
Ir  0.5000  0.0000  0.5000
Cl  0.2427  0.5000  0.1602
Cl  0.2733  0.0000  0.1830
Cl  0.2913  0.2152  0.6269

# 5
# Cd3InSe4

An optimized crystal structure of Cd3InSe4 (GGA-PBE, the Alexandria database).

Properties
ρ (Mg/m³): 5.129
Calculated total energy (Ry per atom): -0.2177
Size of the total moment (μB/f.u.): 0.000
Crystal system: tetragonal

a = 6.2915 Å, b = 6.2915 Å, c = 12.5604 Å
α = 90.00°, β = 90.00°, γ = 90.00°
Space group I-42m (No. 121)
One atom of each set of equivalent atoms:
Cd  0.0000  0.0000  0.0000
Cd  0.0000  0.5000  0.2500
In  0.0000  0.0000  0.5000
Se  0.2449  0.2449  0.8731

# 6
# La2Sn3AsPt4

An optimized crystal structure of La2Sn3AsPt4 (GGA-PBE, the Alexandria database).

Properties
Formation energy (eV per atom): -0.8823
ρ (Mg/m³): 10.963
Size of the total moment (μB/f.u.): 0.000
Crystal system: tetragonal

a = 4.6759 Å, b = 4.6759 Å, c = 10.3166 Å
α = 90.00°, β = 90.00°, γ = 90.00°
Space group P-4m2 (No. 115)
One atom of each set of equivalent atoms:
La  0.0000  0.5000  0.2488
Sn  0.0000  0.5000  0.8711
Sn  0.5000  0.5000  0.5000
As  0.0000  0.0000  0.5000
Pt  0.0000  0.0000  0.0000
Pt  0.0000  0.5000  0.6172
Pt  0.5000  0.5000  0.0000

# 7
# ZnTcP2

An optimized crystal structure of ZnTcP2 (GGA-PBE, the Alexandria database).

Properties
Formation energy (eV per atom): -0.0755
ρ (Mg/m³): 6.337
Size of the total moment (μB/f.u.): 0.000
Crystal system: monoclinic

a = 3.1990 Å, b = 4.3671 Å, c = 4.5167 Å
α = 90.00°, β = 110.62°, γ = 90.00°
Space group Pm (No. 6)
One atom of each set of equivalent atoms:
Zn  0.0000  0.0000  0.0000
Tc  0.4004  0.5000  0.7991
P  0.2750  0.0000  0.5466
P  0.6888  0.5000  0.3740

# 8
# CoPSCl2

An optimized crystal structure of CoPSCl2 (GGA-PBE, the Alexandria database).

Properties
ρ (Mg/m³): 3.552
Calculated total energy (Ry per atom): -0.2632
Size of the total moment (μB/f.u.): 0.000
Crystal system: tetragonal

a = 4.3922 Å, b = 4.3922 Å, c = 4.6742 Å
α = 90.00°, β = 90.00°, γ = 90.00°
Space group P4/mmm (No. 123)
One atom of each set of equivalent atoms:
Co  0.0000  0.0000  0.0000
P  0.0000  0.0000  0.5000
S  0.5000  0.5000  0.5000
Cl  0.0000  0.5000  0.0000

# 9
# CeHoTlOs

An optimized crystal structure of CeHoTlOs (GGA-PBE, the Alexandria database).

Properties
Formation energy (eV per atom): -0.3068
ρ (Mg/m³): 12.050
Size of the total moment (μB/f.u.): 0.282
Crystal system: tetragonal

a = 3.3701 Å, b = 3.3701 Å, c = 8.4891 Å
α = 90.00°, β = 90.00°, γ = 90.00°
Space group P4mm (No. 99)
One atom of each set of equivalent atoms:
Ce  0.0000  0.0000  0.0000
Ho  0.0000  0.0000  0.5924
Tl  0.5000  0.5000  0.3031
Os  0.5000  0.5000  0.7939

# 10
# LiCoSi

An optimized crystal structure of LiCoSi (GGA-PBE, the Alexandria database).

Properties
ρ (Mg/m³): 3.911
Calculated total energy (Ry per atom): -0.3556
Size of the total moment (μB/f.u.): 0.000
Crystal system: cubic

a = 5.4242 Å, b = 5.4242 Å, c = 5.4242 Å
α = 90.00°, β = 90.00°, γ = 90.00°
Space group F-43m (No. 216)
One atom of each set of equivalent atoms:
Li  0.0000  0.0000  0.0000
Co  0.0000  0.0000  0.5000
Si  0.2500  0.2500  0.2500

# 11
# Al2HgPb

An optimized crystal structure of Al2HgPb (GGA-PBE, the Alexandria database).

Properties
Formation energy (eV per atom): 0.2639
ρ (Mg/m³): 8.243
Size of the total moment (μB/f.u.): 0.000
Crystal system: tetragonal

a = 4.4623 Å, b = 4.4623 Å, c = 9.3427 Å
α = 90.00°, β = 90.00°, γ = 90.00°
Space group I-4m2 (No. 119)
One atom of each set of equivalent atoms:
Al  0.0000  0.0000  0.0000
Al  0.0000  0.5000  0.2500
Hg  0.0000  0.5000  0.7500
Pb  0.0000  0.0000  0.5000

# 12
# ScSiPt2

An optimized crystal structure of ScSiPt2 (GGA-PBE, the Alexandria database).

Properties
ρ (Mg/m³): 11.589
Calculated total energy (Ry per atom): -0.4693
Size of the total moment (μB/f.u.): 0.000
Crystal system: trigonal

a = 2.9890 Å, b = 2.9890 Å, c = 25.7344 Å
α = 90.00°, β = 90.00°, γ = 120.00°
Space group R3m (No. 160, hexagonal axes)
One atom of each set of equivalent atoms:
Sc  0.0000  0.0000  0.0000
Si  0.0000  0.0000  0.7545
Pt  0.0000  0.0000  0.2500
Pt  0.0000  0.0000  0.4894

# 13
# BeRuOF2

An optimized crystal structure of BeRuOF2 (GGA-PBE, the Alexandria database).

Properties
ρ (Mg/m³): 4.798
Calculated total energy (Ry per atom): -0.4194
Size of the total moment (μB/f.u.): 2.505
Crystal system: tetragonal

a = 3.1349 Å, b = 3.1349 Å, c = 5.7782 Å
α = 90.00°, β = 90.00°, γ = 90.00°
Space group P4/mmm (No. 123)
One atom of each set of equivalent atoms:
Be  0.0000  0.0000  0.0000
Ru  0.5000  0.5000  0.5000
O  0.0000  0.0000  0.5000
F  0.0000  0.5000  0.0000

# 14
# CsAlIn

An optimized crystal structure of CsAlIn (GGA-PBE, the Alexandria database).

Properties
Formation energy (eV per atom): 0.0396
ρ (Mg/m³): 4.043
Size of the total moment (μB/f.u.): 0.000
Crystal system: monoclinic

a = 13.3165 Å, b = 4.6110 Å, c = 9.1338 Å
α = 90.00°, β = 126.42°, γ = 90.00°
Space group Cm (No. 8)
One atom of each set of equivalent atoms:
Cs  0.0000  0.0000  0.0000
Cs  0.1613  0.0000  0.7423
Al  0.3536  0.0000  0.4866
Al  0.4628  0.0000  0.3214
In  0.2116  0.5000  0.4413
In  0.3094  0.5000  0.2177

# 15
# NdGeAu2

An optimized crystal structure of NdGeAu2 (GGA-PBE, the Alexandria database).

Properties
Formation energy (eV per atom): -0.4778
ρ (Mg/m³): 11.592
Size of the total moment (μB/f.u.): 0.000
Crystal system: tetragonal

a = 4.4997 Å, b = 4.4997 Å, c = 4.3217 Å
α = 90.00°, β = 90.00°, γ = 90.00°
Space group P4/mmm (No. 123)
One atom of each set of equivalent atoms:
Nd  0.0000  0.0000  0.0000
Ge  0.5000  0.5000  0.0000
Au  0.0000  0.5000  0.5000

# 16
# TcPdSe2N

An optimized crystal structure of TcPdSe2N (GGA-PBE, the Alexandria database).

Properties
ρ (Mg/m³): 6.425
Calculated total energy (Ry per atom): -0.3688
Size of the total moment (μB/f.u.): 4.059
Crystal system: tetragonal

a = 5.1452 Å, b = 5.1452 Å, c = 3.6744 Å
α = 90.00°, β = 90.00°, γ = 90.00°
Space group P4/mmm (No. 123)
One atom of each set of equivalent atoms:
Tc  0.0000  0.0000  0.0000
Pd  0.5000  0.5000  0.5000
Se  0.0000  0.5000  0.5000
N  0.5000  0.5000  0.0000

# 17
# Mn5In3S12

An optimized crystal structure of Mn5In3S12 (GGA-PBE, the Alexandria database).

Properties
ρ (Mg/m³): 4.049
Calculated total energy (Ry per atom): -0.4089
Size of the total moment (μB/f.u.): 16.642
Crystal system: cubic

a = 14.8790 Å, b = 14.8790 Å, c = 14.8790 Å
α = 90.00°, β = 90.00°, γ = 90.00°
Space group Ia-3d (No. 230)
One atom of each set of equivalent atoms:
Mn  0.0000  0.0000  0.0000
Mn  0.0000  0.2500  0.3750
In  0.0000  0.2500  0.1250
S  0.0232  0.0481  0.6507

# 18
# CaLuRhPb

An optimized crystal structure of CaLuRhPb (GGA-PBE, the Alexandria database).

Properties
Formation energy (eV per atom): -0.4355
ρ (Mg/m³): 9.290
Size of the total moment (μB/f.u.): 0.002
Crystal system: cubic

a = 7.2143 Å, b = 7.2143 Å, c = 7.2143 Å
α = 90.00°, β = 90.00°, γ = 90.00°
Space group F-43m (No. 216)
One atom of each set of equivalent atoms:
Ca  0.0000  0.0000  0.0000
Lu  0.0000  0.0000  0.5000
Rh  0.2500  0.2500  0.2500
Pb  0.2500  0.2500  0.7500

# 19
# K3Sr2TaS6

An optimized crystal structure of K3Sr2TaS6 (GGA-PBE, the Alexandria database).

Properties
ρ (Mg/m³): 3.393
Calculated total energy (Ry per atom): -0.3742
Size of the total moment (μB/f.u.): 0.000
Crystal system: monoclinic

a = 7.1977 Å, b = 12.4530 Å, c = 7.6709 Å
α = 90.00°, β = 108.55°, γ = 90.00°
Space group C2/m (No. 12)
One atom of each set of equivalent atoms:
K  0.0000  0.0000  0.0000
K  0.0000  0.3304  0.0000
Sr  0.0000  0.1665  0.5000
Ta  0.0000  0.5000  0.5000
S  0.2101  0.3572  0.7008
S  0.2164  0.5000  0.3012

# 20
# KNdSn2I8

An optimized crystal structure of KNdSn2I8 (GGA-PBE, the Alexandria database).

Properties
ρ (Mg/m³): 4.272
Calculated total energy (Ry per atom): -0.2294
Size of the total moment (μB/f.u.): 0.000
Crystal system: triclinic

a = 7.3783 Å, b = 7.8462 Å, c = 9.6422 Å
α = 89.99°, β = 89.95°, γ = 89.01°
Space group P-1 (No. 2)
One atom of each set of equivalent atoms:
K  0.0000  0.0000  0.0000
Nd  0.0000  0.0000  0.5000
Sn  0.5000  0.5002  0.2469
I  0.2428  0.3302  0.5002
I  0.2532  0.8414  0.2718
I  0.2526  0.8407  0.7280
I  0.2705  0.3653  0.0002